Density functional theory data (GGA-PBE) for Sm2DyErS5 after structural relaxation.

The space group is P4/mmm (No. 123) and the conventional cell measures 4.8405, 4.8405 and 10.2113 Å, with angles of 90.00, 90.00 and 90.00 degrees. The inequivalent atoms are Sm at (0.0000, 0.0000, 0.1967), Dy at (0.5000, 0.5000, 0.5000), Er at (0.5000, 0.5000, 0.0000), S at (0.0000, 0.0000, 0.5000), S at (0.0000, 0.5000, 0.0000) and S at (0.5000, 0.5000, 0.2540).

The energy relative to the elements, uncorrected comes out at -1416 meV per atom. For the calculated density, the calculation gives 5.488 g cm⁻³. The total energy comes out at -5.78 eV per atom.

Density functional theory data (GGA-PBE) for SmDy2Er3S6 after structural relaxation.

The space group is C2/m (No. 12) and the conventional cell measures 17.0041, 3.8884 and 7.8448 Å, with angles of 90.00, 103.64 and 90.00 degrees. The inequivalent atoms are Sm at (0.0000, 0.0000, 0.0000), Dy at (0.1659, 0.5000, 0.3315), Er at (0.0000, 0.0000, 0.5000), Er at (0.1651, 0.5000, 0.8337), S at (0.9996, 0.5000, 0.2593), S at (0.1661, 0.0000, 0.5855) and S at (0.1705, 0.0000, 0.0825).

The energy relative to the elements, uncorrected comes out at -1980 meV per atom. For the calculated density, the calculation gives 7.706 g cm⁻³. The total energy comes out at -6.34 eV per atom.

Density functional theory data (GGA-PBE) for SmDy2ErS6 after structural relaxation.

The space group is R3 (No. 146, hexagonal axes) and the conventional cell measures 6.9403, 6.9403 and 18.5445 Å, with angles of 90.00, 90.00 and 120.00 degrees. The inequivalent atoms are Sm at (0.0000, 0.0000, 0.0000), Dy at (0.0000, 0.0000, 0.2948), Dy at (0.0000, 0.0000, 0.7973), Er at (0.0000, 0.0000, 0.4961), S at (0.0102, 0.7092, 0.3965) and S at (0.0302, 0.3617, 0.5622).

The energy relative to the elements, uncorrected comes out at -2053 meV per atom. For the calculated density, the calculation gives 5.377 g cm⁻³. The total energy comes out at -6.38 eV per atom.

Density functional theory data (GGA-PBE) for SmDyEr2S6 after structural relaxation.

The space group is R3 (No. 146, hexagonal axes) and the conventional cell measures 6.9239, 6.9239 and 18.4863 Å, with angles of 90.00, 90.00 and 120.00 degrees. The inequivalent atoms are Sm at (0.0000, 0.0000, 0.0000), Dy at (0.0000, 0.0000, 0.4967), Er at (0.0000, 0.0000, 0.2954), Er at (0.0000, 0.0000, 0.7974), S at (0.0066, 0.3061, 0.8944) and S at (0.0161, 0.7111, 0.3949).

The energy relative to the elements, uncorrected comes out at -2054 meV per atom. For the calculated density, the calculation gives 5.451 g cm⁻³. The total energy comes out at -6.38 eV per atom.

Density functional theory data (GGA-PBE) for SmDy2ErS4 after structural relaxation.

The space group is P2/m (No. 10) and the conventional cell measures 6.7922, 3.8847 and 6.8382 Å, with angles of 90.00, 109.02 and 90.00 degrees. The inequivalent atoms are Sm at (0.0000, 0.0000, 0.0000), Dy at (0.5000, 0.0000, 0.5000), Dy at (0.5000, 0.5000, 0.0000), Er at (0.0000, 0.5000, 0.5000), S at (0.2503, 0.0000, 0.7439) and S at (0.2551, 0.5000, 0.2580).

The energy relative to the elements, uncorrected comes out at -1986 meV per atom. For the calculated density, the calculation gives 7.504 g cm⁻³. The total energy comes out at -6.36 eV per atom.

Density functional theory data (GGA-PBE) for SrDy4ErS8 after structural relaxation.

The space group is R3m (No. 160, hexagonal axes) and the conventional cell measures 8.1544, 8.1544 and 19.9165 Å, with angles of 90.00, 90.00 and 120.00 degrees. The inequivalent atoms are Sr at (0.0000, 0.0000, 0.0000), Dy at (0.0000, 0.0000, 0.7504), Dy at (0.0050, 0.5025, 0.8759), Er at (0.0000, 0.0000, 0.3734), S at (0.0000, 0.0000, 0.1394), S at (0.0000, 0.0000, 0.6178), S at (0.0217, 0.5109, 0.1271) and S at (0.1862, 0.3724, 0.9547).

The energy relative to the elements, uncorrected comes out at -1993 meV per atom. For the calculated density, the calculation gives 5.045 g cm⁻³. The total energy comes out at -6.11 eV per atom.

Density functional theory data (GGA-PBE) for SrDyEr4S8 after structural relaxation.

The space group is R3m (No. 160, hexagonal axes) and the conventional cell measures 8.0987, 8.0987 and 19.9043 Å, with angles of 90.00, 90.00 and 120.00 degrees. The inequivalent atoms are Sr at (0.0000, 0.0000, 0.0000), Dy at (0.0000, 0.0000, 0.6274), Er at (0.0000, 0.0000, 0.2506), Er at (0.1692, 0.3383, 0.4581), S at (0.0000, 0.0000, 0.3831), S at (0.0000, 0.0000, 0.8607), S at (0.0375, 0.5187, 0.3811) and S at (0.1759, 0.3519, 0.2056).

The energy relative to the elements, uncorrected comes out at -1987 meV per atom. For the calculated density, the calculation gives 5.180 g cm⁻³. The total energy comes out at -6.10 eV per atom.

Density functional theory data (GGA-PBE) for Sr3Dy3ErS8 after structural relaxation.

The space group is R-3m (No. 166, hexagonal axes) and the conventional cell measures 7.9878, 7.9878 and 20.5687 Å, with angles of 90.00, 90.00 and 120.00 degrees. The inequivalent atoms are Sr at (0.0000, 0.5000, 0.0000), Dy at (0.0000, 0.5000, 0.5000), Er at (0.0000, 0.0000, 0.5000), S at (0.0000, 0.0000, 0.2429) and S at (0.0032, 0.5016, 0.2407).

The energy relative to the elements, uncorrected comes out at -2088 meV per atom. For the calculated density, the calculation gives 5.146 g cm⁻³. The total energy comes out at -5.85 eV per atom.

Density functional theory data (GGA-PBE) for TbDy4ErS8 after structural relaxation.

The space group is R3m (No. 160, hexagonal axes) and the conventional cell measures 8.0443, 8.0443 and 19.6712 Å, with angles of 90.00, 90.00 and 120.00 degrees. The inequivalent atoms are Tb at (0.0000, 0.0000, 0.0000), Dy at (0.0000, 0.0000, 0.7506), Dy at (0.9997, 0.4998, 0.8752), Er at (0.0000, 0.0000, 0.3753), S at (0.0000, 0.0000, 0.1330), S at (0.0000, 0.0000, 0.6181), S at (0.0219, 0.5109, 0.1269) and S at (0.1782, 0.3565, 0.9567).

The energy relative to the elements, uncorrected comes out at -1932 meV per atom. For the calculated density, the calculation gives 5.570 g cm⁻³. The total energy comes out at -6.26 eV per atom.

Density functional theory data (GGA-PBE) for Tb3DyEr3S8 after structural relaxation.

The space group is R-3m (No. 166, hexagonal axes) and the conventional cell measures 7.7699, 7.7699 and 19.0879 Å, with angles of 90.00, 90.00 and 120.00 degrees. The inequivalent atoms are Tb at (0.0000, 0.5000, 0.0000), Dy at (0.0000, 0.0000, 0.5000), Er at (0.0000, 0.5000, 0.5000), S at (0.0000, 0.0000, 0.2481) and S at (0.0043, 0.5021, 0.7508).

The energy relative to the elements, uncorrected comes out at -2045 meV per atom. For the calculated density, the calculation gives 6.976 g cm⁻³. The total energy comes out at -6.39 eV per atom.

Density functional theory data (GGA-PBE) for Tb3Dy2ErS6 after structural relaxation.

The space group is C2/m (No. 12) and the conventional cell measures 6.7529, 11.7477 and 6.7710 Å, with angles of 90.00, 109.47 and 90.00 degrees. The inequivalent atoms are Tb at (0.0000, 0.0000, 0.0000), Tb at (0.0000, 0.3320, 0.0000), Dy at (0.0000, 0.1668, 0.5000), Er at (0.0000, 0.5000, 0.5000), S at (0.2475, 0.3346, 0.7462) and S at (0.2485, 0.5000, 0.2527).

The energy relative to the elements, uncorrected comes out at -1999 meV per atom. For the calculated density, the calculation gives 7.616 g cm⁻³. The total energy comes out at -6.37 eV per atom.

Density functional theory data (GGA-PBE) for Tb4DyErS8 after structural relaxation.

The space group is R3m (No. 160, hexagonal axes) and the conventional cell measures 8.0666, 8.0666 and 19.7132 Å, with angles of 90.00, 90.00 and 120.00 degrees. The inequivalent atoms are Tb at (0.0000, 0.0000, 0.0000), Tb at (0.9998, 0.4999, 0.8755), Dy at (0.0000, 0.0000, 0.7509), Er at (0.0000, 0.0000, 0.3756), S at (0.0000, 0.0000, 0.1326), S at (0.0000, 0.0000, 0.6189), S at (0.0216, 0.5108, 0.1266) and S at (0.1782, 0.3565, 0.9576).

The energy relative to the elements, uncorrected comes out at -1934 meV per atom. For the calculated density, the calculation gives 5.480 g cm⁻³. The total energy comes out at -6.27 eV per atom.

Number 1: magnetic moment 0.000 μB/cell. Number 2: magnetic moment 0.000 μB/cell. Number 3: magnetic moment 0.000 μB/cell. Number 4: magnetic moment 0.000 μB/cell. Number 5: magnetic moment 0.000 μB/cell. Number 6: magnetic moment 0.007 μB/cell. Number 7: magnetic moment 0.000 μB/cell. Number 8: magnetic moment 0.000 μB/cell. Number 9: magnetic moment 0.000 μB/cell. Number 10: magnetic moment 0.000 μB/cell. Number 11: magnetic moment 0.000 μB/cell. Number 12: magnetic moment 0.004 μB/cell.